# 1
Ni2Ag2Ru: relaxed, PBE.

For the magnetization, the calculation gives 2.7 μB per formula unit. The polymorph energy (0 for the lowest one) is 0 meV/atom.

It has space group P4/mbm (No. 127), with a = 6.142 Å, b = 6.142 Å, c = 4.025 Å, α = 90.00°, β = 90.00° and γ = 90.00°. Symmetry generates all atoms from Ni at (0.131, 0.369, 0.000), Ag at (0.173, 0.673, 0.500) and Ru at (0.000, 0.000, 0.000).

---

# 2
ZrSn2Ru2: relaxed, PBE.

For the magnetization, the calculation gives 0.0 μB per formula unit. The polymorph energy (0 for the lowest one) is 941 meV/atom.

It has space group P4/mmm (No. 123), with a = 4.958 Å, b = 4.958 Å, c = 4.849 Å, α = 90.00°, β = 90.00° and γ = 90.00°. Symmetry generates all atoms from Zr at (0.000, 0.000, 0.000), Sn at (0.000, 0.500, 0.500), Ru at (0.500, 0.500, 0.000) and Ru at (0.500, 0.500, 0.500).

---

What calculated density values result from the calculations? In sequence: 9.497 7.393 g cm⁻³.